1.
ErPbS | Alexandria | GGA-PBE | optimized geometry; N(E_F) = 0.41 states/eV per atom; formation energy without anion corrections = -0.881 eV/atom; calculated volume = 27.39 A^3/atom; magnetization = 0.00 Bohr magnetons per cell; ρ = 8.216 g cm⁻³
1.0
-3.524 -0.296 -3.835
-3.712 -1.103 3.495
2.449 6.592 0.789
S Er Pb
2 2 2
Cartesian
-2.522 2.806 2.100
-0.082 0.412 0.043
-4.353 3.008 0.220
-2.007 0.210 1.828
-0.936 4.719 0.496
-2.113 1.625 -1.731



2.
Er2PbS | Alexandria | GGA-PBE | optimized geometry; N(E_F) = 0.37 states/eV per atom; formation energy without anion corrections = -1.191 eV/atom; calculated volume = 24.69 A^3/atom; magnetization = 0.00 Bohr magnetons per cell; ρ = 9.649 g cm⁻³
1.0
3.753 0.000 0.000
1.876 3.250 0.000
1.876 1.083 8.096
Pb Er S
1 2 1
Cartesian
3.753 2.167 4.065
1.876 1.083 6.517
1.876 1.083 1.579
5.629 3.250 8.080



3.
Er7PbS5 | Alexandria | GGA-PBE | optimized geometry; N(E_F) = 0.52 states/eV per atom; formation energy without anion corrections = -1.602 eV/atom; calculated volume = 22.49 A^3/atom; magnetization = 0.00 Bohr magnetons per cell; ρ = 8.736 g cm⁻³
1.0
-2.133 -1.684 -2.812
6.369 -1.938 -0.947
-3.560 -18.417 13.733
Er Pb S
14 2 10
Cartesian
1.238 -4.130 1.537
4.290 -7.320 1.135
-1.261 -10.155 4.323
0.264 -2.265 -1.560
1.943 -11.887 5.648
2.845 -5.141 -1.796
-2.163 -16.900 11.767
1.855 -10.268 2.026
-1.173 -11.774 7.945
0.682 -7.017 3.689
0.000 -15.025 6.282
0.418 -19.777 11.532
-0.557 -17.912 8.434
-3.608 -14.722 8.836
-0.578 -14.910 9.372
1.259 -7.132 0.599
-1.777 -9.210 6.865
-1.101 -3.634 0.292
1.782 -18.407 9.679
-1.972 -19.235 10.300
2.575 -14.301 6.618
-1.893 -7.741 3.353
-3.557 -18.418 13.731
-0.690 -12.598 5.351
1.372 -9.444 4.620
2.654 -2.806 -0.329



4.
Er3Pb5S12 | Alexandria | GGA-PBE | optimized geometry; N(E_F) = 0.49 states/eV per atom; formation energy without anion corrections = -0.764 eV/atom; calculated volume = 26.60 A^3/atom; magnetization = 0.00 Bohr magnetons per cell; ρ = 6.001 g cm⁻³
1.0
-0.867 -0.041 14.008
12.255 -5.587 -3.946
-0.855 13.196 -4.701
S Er Pb
48 12 20
Cartesian
11.009 -3.202 -3.093
10.258 -1.585 6.738
9.619 0.669 2.879
4.318 5.235 4.908
8.347 3.295 -3.483
7.869 4.749 2.167
6.105 5.374 -2.012
4.881 -1.195 -0.009
-0.028 2.681 7.715
2.214 0.600 6.247
5.833 8.770 2.423
6.397 -1.046 7.116
8.320 6.967 -0.885
10.447 3.574 1.335
3.494 5.725 1.654
4.700 -1.202 2.938
7.226 6.033 -5.145
10.831 -0.426 -4.080
8.793 1.155 -0.376
0.087 3.994 4.027
4.321 8.622 -4.702
2.766 10.208 2.238
4.137 8.614 -1.755
-0.297 7.994 9.442
2.584 10.197 5.184
1.824 2.081 -0.559
7.768 -2.640 3.124
10.440 -4.361 7.726
3.308 1.535 10.507
1.644 4.856 -1.550
8.890 2.712 6.911
0.094 11.929 -2.364
10.562 4.887 -2.353
5.653 8.763 5.370
9.443 7.623 -4.019
4.429 2.194 7.373
2.187 4.272 8.845
1.741 6.413 5.737
6.213 -1.054 10.063
0.914 6.899 2.482
0.276 9.152 -1.376
8.710 5.487 5.920
-0.475 10.770 8.454
2.665 2.819 3.194
1.090 -0.055 9.380
6.216 2.333 0.453
7.040 1.842 3.708
7.950 -2.629 0.177
6.695 8.044 -3.077
0.560 2.564 10.588
2.202 3.526 6.006
7.121 -0.208 1.612
3.839 -0.477 8.439
3.413 7.776 3.750
8.326 -2.577 8.710
8.332 4.042 -0.644
0.995 4.240 1.246
9.539 3.328 4.115
9.974 5.003 -5.227
2.208 10.145 -3.349
3.845 6.142 -0.916
6.689 1.426 6.277
-0.861 6.577 4.653
1.771 6.815 8.332
0.134 10.817 5.899
2.632 0.237 3.679
5.694 -2.814 5.031
-0.427 6.598 -2.351
9.968 -1.616 4.127
6.128 -2.794 -1.973
5.267 3.784 2.681
6.260 6.369 6.265
7.902 7.331 1.682
5.700 3.805 -4.323
0.566 9.183 1.234
10.400 -3.250 -0.538
8.763 0.753 -2.971
0.000 0.000 0.000
-0.433 -0.021 7.004
4.274 1.199 -0.904



5.
Er3PbS2 | Alexandria | GGA-PBE | optimized geometry; N(E_F) = 0.55 states/eV per atom; formation energy without anion corrections = -1.273 eV/atom; calculated volume = 25.05 A^3/atom; magnetization = 0.00 Bohr magnetons per cell; ρ = 8.543 g cm⁻³
1.0
3.805 0.000 0.000
-1.903 7.287 0.000
0.000 0.000 10.840
Er Pb S
6 2 4
Cartesian
0.000 5.251 10.570
0.000 5.251 5.690
1.903 6.705 2.710
1.903 2.036 5.150
0.000 0.581 8.130
1.903 2.036 0.270
0.000 4.018 2.710
1.903 3.269 8.130
0.000 0.000 0.000
0.000 0.000 5.420
0.000 6.070 8.130
1.903 1.216 2.710



6.
Er2PbS | Alexandria | GGA-PBE | optimized geometry; N(E_F) = 0.68 states/eV per atom; formation energy without anion corrections = -1.132 eV/atom; calculated volume = 24.90 A^3/atom; magnetization = 0.00 Bohr magnetons per cell; ρ = 9.567 g cm⁻³
1.0
-1.359 -3.501 0.030
2.345 -2.923 0.243
-0.510 0.267 8.134
Er S Pb
2 1 1
Cartesian
-0.082 -1.926 6.647
0.559 -4.231 1.759
0.000 0.000 0.000
-0.255 0.133 4.067



7.
Er6PbS5 | Alexandria | GGA-PBE | optimized geometry; N(E_F) = 0.29 states/eV per atom; formation energy without anion corrections = -1.659 eV/atom; calculated volume = 22.10 A^3/atom; magnetization = 0.00 Bohr magnetons per cell; ρ = 8.584 g cm⁻³
1.0
-2.682 -2.990 -5.613
0.428 -6.817 0.620
-5.126 -3.507 2.914
S Pb Er
5 1 6
Cartesian
-3.116 -6.882 2.347
-2.630 -8.343 -1.350
-1.127 -4.903 -2.497
-4.751 -4.970 -0.730
-1.583 -3.441 1.186
0.000 0.000 0.000
-0.586 -2.571 -1.298
-5.125 -7.466 -1.969
-3.729 -4.028 -3.063
-1.669 -7.236 -3.696
-3.652 -9.286 0.983
-2.256 -5.848 -0.111



8.
ErPb2S3 | Alexandria | GGA-PBE | optimized geometry; N(E_F) = 0.30 states/eV per atom; formation energy without anion corrections = -1.017 eV/atom; calculated volume = 26.19 A^3/atom; magnetization = 0.00 Bohr magnetons per cell; ρ = 7.163 g cm⁻³
1.0
5.753 0.000 0.000
0.000 7.646 -0.014
-2.876 -1.927 7.148
S Pb Er
6 4 2
Cartesian
0.001 0.003 1.892
2.876 5.716 5.242
-0.001 3.826 1.885
2.877 1.912 -0.003
2.876 5.735 -0.010
2.877 1.893 5.249
2.877 -0.001 2.319
-0.001 5.720 4.815
0.001 1.897 4.822
2.876 3.823 2.312
0.004 1.912 -0.003
5.748 5.735 -0.010



9.
Er2PbS | Alexandria | GGA-PBE | optimized geometry; N(E_F) = 0.55 states/eV per atom; formation energy without anion corrections = -1.182 eV/atom; calculated volume = 24.67 A^3/atom; magnetization = 0.00 Bohr magnetons per cell; ρ = 9.655 g cm⁻³
1.0
-1.283 -3.461 0.983
3.711 0.535 -0.726
0.890 3.846 7.112
Er S Pb
2 1 1
Cartesian
1.027 1.383 6.035
2.291 -0.463 1.334
0.000 0.000 0.000
1.018 -1.270 4.176



10.
Er3ScPb2S | Alexandria | GGA-PBE | optimized geometry; N(E_F) = 0.67 states/eV per atom; formation energy without anion corrections = -0.775 eV/atom; calculated volume = 27.32 A^3/atom; magnetization = 0.00 Bohr magnetons per cell; ρ = 8.624 g cm⁻³
1.0
-1.831 -4.421 -0.210
0.797 -0.097 -4.925
7.799 -0.816 3.806
Er Pb Sc S
3 2 1 1
Cartesian
2.425 -1.024 0.413
4.340 -4.310 -1.741
0.399 -0.048 -2.462
5.265 -2.223 0.896
1.500 -3.111 -2.224
-0.916 -2.211 -0.105
0.000 0.000 0.000



11.
ErSc4PbS8 | Alexandria | GGA-PBE | optimized geometry; N(E_F) = 0.43 states/eV per atom; formation energy without anion corrections = -1.649 eV/atom; calculated volume = 24.18 A^3/atom; magnetization = 0.00 Bohr magnetons per cell; ρ = 3.977 g cm⁻³
1.0
-7.035 -2.965 -1.256
-0.751 -6.719 -3.762
-2.253 -6.443 4.001
S Sc Er Pb
8 4 1 1
Cartesian
-6.061 -5.480 -0.770
-3.924 -10.706 -0.404
-3.509 -6.992 1.675
-6.452 -8.979 -2.729
-7.537 -12.023 -0.888
-2.789 -7.435 -2.076
-2.489 -4.225 0.087
-7.398 -8.631 0.981
-5.150 -6.838 -2.671
-1.133 -3.236 2.006
-1.506 -6.577 0.136
-4.631 -4.710 1.382
-2.254 -6.431 3.981
-4.886 -9.318 1.706



12.
Er2Sc2Pb2S | Alexandria | GGA-PBE | optimized geometry; N(E_F) = 0.74 states/eV per atom; formation energy without anion corrections = -0.825 eV/atom; calculated volume = 25.83 A^3/atom; magnetization = 0.00 Bohr magnetons per cell; ρ = 7.997 g cm⁻³
1.0
-1.080 -1.791 4.282
-2.679 -3.349 -2.077
8.213 -2.240 -1.517
Pb Sc S Er
2 2 1 2
Cartesian
-0.152 -3.883 0.989
4.605 -3.498 -0.301
-1.340 -1.674 -1.039
-0.540 -0.896 2.141
0.000 0.000 0.000
2.339 -5.775 0.826
2.114 -1.606 -0.138